Density functional theory data (PBE) for Np3Si2Pt6 after structural relaxation.

```
data_Np3Si2Pt6
_symmetry_space_group_name_H-M 'I m -3'
_symmetry_Int_Tables_number 204
_symmetry_space_group_name_Hall '-I 2 2 3'
_cell_length_a 9.3220
_cell_length_b 9.3220
_cell_length_c 9.3220
_cell_angle_alpha 90.00
_cell_angle_beta 90.00
_cell_angle_gamma 90.00
loop_
_atom_site_label
_atom_site_fract_x
_atom_site_fract_y
_atom_site_fract_z
Np1 0.0000 0.0000 0.2656
Si1 0.2500 0.2500 0.2500
Pt1 0.0000 0.3258 0.3279
```

## Properties
Energy relative to the elements, uncorrected in meV per atom: -577
Magnetization in μB/cell: 48.61
Total DFT energy (no corrections) in eV per atom: -8.39